# KTl2Sn, optimized geometry, DFT PBE-GGA
data_KTl2Sn
_chemical_formula_sum 'K2 Tl4 Sn2'
_space_group_name_H-M_alt 'P 1'
_space_group_IT_number 1
_cell_length_a 4.629
_cell_length_b 6.987
_cell_length_c 8.887
_cell_angle_alpha 90.00
_cell_angle_beta 90.00
_cell_angle_gamma 90.00
loop_
_space_group_symop_operation_xyz
'x,y,z'
loop_
_atom_site_label
_atom_site_fract_x
_atom_site_fract_y
_atom_site_fract_z
_atom_site_occupancy
Tl1 0.500 0.296 0.215 1
Tl2 0.000 0.704 0.285 1
Tl3 0.000 0.704 0.715 1
Tl4 0.500 0.296 0.785 1
Sn1 0.000 0.430 0.000 1
Sn2 0.500 0.570 0.500 1
K1 0.500 0.863 0.000 1
K2 0.000 0.137 0.500 1
# space-group type	Pmmn (59)
# energy above the lowest structure with this stoichiometry	8.5	meV per atom
# magnetization	0.00	μB per formula unit
# ΔH_f (0 K)	-0.096	eV per atom
# D(E_F)	1.536	states/eV/f.u.